Here is crystalline TaMnIO2 at its relaxed geometry from the Alexandria database. Energies are from GGA+U.

Cell lengths 3.9541, 3.9541, 5.5369 Å; angles 90.00, 90.00, 90.00 degrees
With the nearest neighbours (Å) after each atom.
Fractional coordinates of all 5 atoms:
Ta 0.0000 0.0000 0.0000  4 I 2.80
Mn 0.5000 0.5000 0.5000  4 O 1.98
I 0.5000 0.5000 0.0000  2 Mn 2.77, 4 Ta 2.80
O 0.0000 0.5000 0.5000  2 Mn 1.98
O 0.5000 0.0000 0.5000  2 Mn 1.98

Summary:
Theoretical density   7.6 g cm⁻³
Energy above the most stable polymorph in this dataset   1281 meV/atom